Entry 1:
Entry from the Alexandria database: a relaxed structure of TlAg2Bi (PBE).

The density of states at the Fermi level is 1.82 states/eV/f.u. The formation energy is 125 meV per atom.

Cell and atoms, written as extended XYZ:
```
4
Lattice="-1.622 0.822 2.813 -4.723 -1.191 -2.375 0.417 -5.117 1.736" Properties=species:S:1:pos:R:3 pbc="T T T"
Tl -2.964 -2.743 1.087
Bi -0.811 0.411 1.406
Ag 0.209 -2.558 0.868
Ag -2.361 -0.595 -1.188
```

---

Entry 2:
Entry from the Alexandria database: a relaxed structure of MgP2RuC (PBE).

The density of states at the Fermi level is 3.20 states/eV/f.u. The formation energy is 684 meV per atom.

Cell and atoms, written as extended XYZ:
```
5
Lattice="4.317 0.000 0.000 0.000 3.889 0.000 0.000 0.000 4.317" Properties=species:S:1:pos:R:3 pbc="T T T"
Ru 0.000 1.945 0.000
Mg 2.158 1.945 2.158
C 0.000 0.000 0.000
P 0.000 0.000 2.158
P 2.158 0.000 0.000
```

---

Entry 3:
Entry from the Alexandria database: a relaxed structure of AcAl6Pd (PBE).

The density of states at the Fermi level is 1.80 states/eV/f.u. The formation energy is -480 meV per atom.

Cell and atoms, written as extended XYZ:
```
8
Lattice="-2.674 2.729 2.181 -2.479 -3.418 1.237 4.697 -0.909 6.897" Properties=species:S:1:pos:R:3 pbc="T T T"
Ac 0.000 0.000 0.000
Al 1.784 0.760 5.673
Al 1.881 -2.313 5.202
Al -1.860 -0.483 2.761
Al 1.403 -1.115 7.554
Al 0.337 -2.014 2.933
Al 0.239 1.059 3.405
Pd 2.348 -0.455 3.449
```

---

Entry 4:
Entry from the Alexandria database: a relaxed structure of AcAgSnPt2 (PBE).

The density of states at the Fermi level is 3.06 states/eV/f.u. The formation energy is -618 meV per atom.

Cell and atoms, written as extended XYZ:
```
10
Lattice="-1.092 -3.283 4.764 -3.606 -3.526 -3.257 7.048 -2.193 0.105" Properties=species:S:1:pos:R:3 pbc="T T T"
Ac 0.576 -4.474 -1.328
Ac 1.774 -4.529 2.939
Ag 0.000 0.000 0.000
Ag -1.803 -1.763 -1.629
Sn -3.251 -4.286 -0.061
Sn -1.448 -2.523 1.567
Pt 1.084 -6.804 0.632
Pt -0.968 -5.256 1.228
Pt 3.318 -3.746 0.383
Pt 1.266 -2.199 0.979
```

---

Entry 5:
Entry from the Alexandria database: a relaxed structure of ZnCrTe (PBE).

The density of states at the Fermi level is 1.87 states/eV/f.u. Its distance to the lowest polymorph of the same formula is 0.25 eV/f.u. The calculation puts the raw formation energy at 100 meV per atom.

Cell and atoms, written as extended XYZ:
```
12
Lattice="-1.438 1.669 -3.526 0.535 -2.911 -1.596 -16.496 -5.625 4.734" Properties=species:S:1:pos:R:3 pbc="T T T"
Cr -7.941 -2.099 1.169
Cr -9.993 -1.857 0.038
Cr -15.921 -6.367 2.738
Cr -1.478 -0.500 -3.126
Zn -16.575 -3.971 1.689
Zn -1.359 0.015 -0.482
Zn -8.060 -2.614 -1.475
Zn -9.339 -4.253 1.087
Te -3.691 0.330 -1.839
Te -14.243 -4.286 3.047
Te -11.671 -3.938 -0.270
Te -5.728 -2.929 -0.118
```

---

Entry 6:
Entry from the Alexandria database: a relaxed structure of Be4ReNi (PBE).

The density of states at the Fermi level is 2.46 states/eV/f.u. The formation energy is -176 meV per atom.

Cell and atoms, written as extended XYZ:
```
6
Lattice="0.000 3.033 3.033 3.033 0.000 3.033 3.033 3.033 0.000" Properties=species:S:1:pos:R:3 pbc="T T T"
Be 2.261 3.805 3.805
Be 3.805 3.805 2.261
Be 3.805 2.261 3.805
Be 2.261 2.261 2.261
Re 0.000 0.000 0.000
Ni 4.550 4.550 4.550
```